Computed, not measured: crystalline Os2PdSe2S4 at its relaxed geometry at the PBE level of DFT.

Lattice parameters (Å, degrees): 6.475 6.475 9.930 119.12 119.12 30.91
Sites, in units of the cell vectors:
1 Os 0.177 0.177 0.292
2 Os 0.823 0.823 0.708
3 Pd 0.500 0.500 0.000
4 Se 0.482 0.482 0.740
5 Se 0.518 0.518 0.260
6 S 0.177 0.177 0.547
7 S 0.281 0.281 0.848
8 S 0.719 0.719 0.152
9 S 0.823 0.823 0.453

Values from the calculation:
total DFT energy (no corrections) = -50.93 eV for the cell shown
crystal system = monoclinic